(1)
Compound: ZrPb2Br
Source: the Alexandria database
Functional: SCAN
Structure: PBEsol geometry

Cell lengths 3.3939, 5.4894, 5.5444 Å; angles 90.00, 92.70, 90.00 degrees
Atoms (fractional coordinates):
Zr (0.0000, 0.0000, 0.0000)
Pb (0.3070, 0.5000, 0.2382)
Pb (0.6930, 0.5000, 0.7618)
Br (0.0000, 0.0000, 0.5000)

Results
**ΔE_f (raw)**: -0.1725 eV/atom
**Distance to the lowest polymorph of the same formula**: 226 meV/atom
**M_tot**: 0.0 μB/f.u.
**Volume**: 103 Å³/cell
**Energy**: -50.6026 eV per atom

=====

(2)
Compound: TcNi2
Source: the Alexandria database
Functional: SCAN
Structure: PBEsol geometry

Cell lengths 5.5692, 5.5692, 5.5692 Å; angles 153.39, 153.39, 37.99 degrees
Atoms (fractional coordinates):
Tc (0.0000, 0.0000, 0.0000)
Ni (0.3305, 0.3305, 0.0000)
Ni (0.6695, 0.6695, 0.0000)

Results
**Calculated formation energy**: 0.048 eV/atom
**Distance to the lowest polymorph of the same formula**: 46 meV/atom
**M_tot**: 0.0 μB/f.u.
**Volume**: 35 Å³/cell
**Energy**: -22.4205 eV per atom

=====

(3)
Compound: Ca2FeSb
Source: the Alexandria database
Functional: SCAN
Structure: PBEsol geometry

Cell lengths 9.6003, 9.6003, 9.6003 Å; angles 21.08, 21.08, 21.08 degrees
Atoms (fractional coordinates):
Ca (0.2433, 0.2433, 0.2433)
Ca (0.7567, 0.7567, 0.7567)
Fe (0.5000, 0.5000, 0.5000)
Sb (0.0000, 0.0000, 0.0000)

Results
**ΔE_f (raw)**: 0.1631 eV/atom
**M_tot**: 2.6 μB/f.u.
**Volume**: 100 Å³/cell
**Energy**: -18.5161 eV per atom